Record 1
# SbSeI2O

SbSeI2O after structural relaxation (PBE, the Alexandria database).

Values from the calculation:
size of the total moment: 0.0 μB/f.u.
offset from the most stable computed form: 405 meV/atom
V: 25.40 Å³ per atom
total DFT energy (no corrections): -13.2 eV/f.u.
DOS(E_F): 4.3 states/eV/cell

The structure in CIF format:
```
data_SbSeI2O
_chemical_formula_sum 'Sb1 Se1 I2 O1'
_symmetry_space_group_name_H-M 'P 4/m m m'
_symmetry_Int_Tables_number 123
_symmetry_space_group_name_Hall '-P 4 2'
_cell_length_a 5.2497
_cell_length_b 5.2497
_cell_length_c 4.6089
_cell_angle_alpha 90.00
_cell_angle_beta 90.00
_cell_angle_gamma 90.00
loop_
_atom_site_label
_atom_site_type_symbol
_atom_site_fract_x
_atom_site_fract_y
_atom_site_fract_z
_atom_site_occupancy
Sb1 Sb 0.0000 0.0000 0.0000 1
Se1 Se 0.5000 0.5000 0.0000 1
I1 I 0.0000 0.5000 0.5000 1
O1 O 0.0000 0.0000 0.5000 1
```

***

Record 2
# Li2MgIn

Li2MgIn after structural relaxation (PBE, the Alexandria database).

Values from the calculation:
size of the total moment: 0.0 μB/f.u.
V: 20.59 Å³ per atom
ΔE_f: -0.147 eV/atom
total DFT energy (no corrections): -8.7 eV/f.u.
DOS(E_F): 3.5 states/eV/cell

The structure in CIF format:
```
data_Li2MgIn
_chemical_formula_sum 'Li4 Mg2 In2'
_symmetry_space_group_name_H-M 'C 1 2/m 1'
_symmetry_Int_Tables_number 12
_cell_length_a 10.1050
_cell_length_b 3.2603
_cell_length_c 5.1802
_cell_angle_alpha 90.00
_cell_angle_beta 105.14
_cell_angle_gamma 90.00
loop_
_symmetry_equiv_pos_as_xyz
'x,y,z'
'-x,-y,-z'
'-x,y,-z'
'x,-y,z'
'x+1/2,y+1/2,z'
'-x+1/2,-y+1/2,-z'
'-x+1/2,y+1/2,-z'
'x+1/2,-y+1/2,z'
loop_
_atom_site_label
_atom_site_type_symbol
_atom_site_fract_x
_atom_site_fract_y
_atom_site_fract_z
_atom_site_occupancy
Li1 Li 0.2449 0.0000 0.2333 1
Mg1 Mg 0.0000 0.0000 0.5000 1
In1 In 0.0000 0.5000 0.0000 1
```

***

Record 3
# Li6Ag2Pt3

Li6Ag2Pt3 after structural relaxation (PBE, the Alexandria database).

Values from the calculation:
size of the total moment: 0.0 μB/f.u.
V: 16.91 Å³ per atom
ΔE_f: -0.284 eV/atom
total DFT energy (no corrections): -38.4 eV/f.u.
DOS(E_F): 3.7 states/eV/cell

The structure in CIF format:
```
data_Li6Ag2Pt3
_chemical_formula_sum 'Li12 Ag4 Pt6'
_symmetry_space_group_name_H-M 'C m m m'
_symmetry_Int_Tables_number 65
_symmetry_space_group_name_Hall '-C 2 2'
_cell_length_a 10.4469
_cell_length_b 12.8039
_cell_length_c 2.7812
_cell_angle_alpha 90.00
_cell_angle_beta 90.00
_cell_angle_gamma 90.00
loop_
_atom_site_label
_atom_site_type_symbol
_atom_site_fract_x
_atom_site_fract_y
_atom_site_fract_z
_atom_site_occupancy
Li1 Li 0.0000 0.1490 0.0000 1
Li2 Li 0.2004 0.3686 0.0000 1
Ag1 Ag 0.1378 0.0000 0.5000 1
Pt1 Pt 0.0000 0.3179 0.5000 1
Pt2 Pt 0.0000 0.5000 0.0000 1
```

***

Record 4
# SiTcSbI2

SiTcSbI2 after structural relaxation (PBE, the Alexandria database).

Values from the calculation:
size of the total moment: 1.9 μB/f.u.
offset from the most stable computed form: 0 meV/atom
V: 30.70 Å³ per atom
total DFT energy (no corrections): -18.3 eV/f.u.
DOS(E_F): 6.5 states/eV/cell

The structure in CIF format:
```
data_SiTcSbI2
_chemical_formula_sum 'Si1 Tc1 Sb1 I2'
_symmetry_space_group_name_H-M 'P 4/m m m'
_symmetry_Int_Tables_number 123
_symmetry_space_group_name_Hall '-P 4 2'
_cell_length_a 5.4748
_cell_length_b 5.4748
_cell_length_c 5.1216
_cell_angle_alpha 90.00
_cell_angle_beta 90.00
_cell_angle_gamma 90.00
loop_
_atom_site_label
_atom_site_type_symbol
_atom_site_fract_x
_atom_site_fract_y
_atom_site_fract_z
_atom_site_occupancy
Si1 Si 0.0000 0.0000 0.0000 1
Tc1 Tc 0.5000 0.5000 0.5000 1
Sb1 Sb 0.5000 0.5000 0.0000 1
I1 I 0.0000 0.5000 0.5000 1
```

***

Record 5
# Sc3TlO

Sc3TlO after structural relaxation (PBE, the Alexandria database).

Values from the calculation:
size of the total moment: 0.0 μB/f.u.
V: 21.11 Å³ per atom
total DFT energy (no corrections): -32.6 eV/f.u.
DOS(E_F): 7.4 states/eV/cell

The structure in CIF format:
```
data_Sc3TlO
_chemical_formula_sum 'Sc6 Tl2 O2'
_symmetry_space_group_name_H-M 'P 1 21/m 1'
_symmetry_Int_Tables_number 11
_cell_length_a 3.4206
_cell_length_b 8.9157
_cell_length_c 7.1291
_cell_angle_alpha 90.00
_cell_angle_beta 103.87
_cell_angle_gamma 90.00
loop_
_symmetry_equiv_pos_as_xyz
'x,y,z'
'-x,-y,-z'
'-x,y+1/2,-z'
'x,-y+1/2,z'
loop_
_atom_site_label
_atom_site_type_symbol
_atom_site_fract_x
_atom_site_fract_y
_atom_site_fract_z
_atom_site_occupancy
Sc1 Sc 0.0384 0.2500 0.0754 1
Sc2 Sc 0.3650 0.0623 0.7280 1
Tl1 Tl 0.2791 0.7500 0.5609 1
O1 O 0.4499 0.2500 0.8982 1
```

***

Record 6
# AlSe3

AlSe3 after structural relaxation (PBE, the Alexandria database).

Values from the calculation:
size of the total moment: 0.0 μB/f.u.
offset from the most stable computed form: 179 meV/atom
V: 24.64 Å³ per atom
total DFT energy (no corrections): -14.6 eV/f.u.
DOS(E_F): 4.3 states/eV/cell

The structure in CIF format:
```
data_AlSe3
_chemical_formula_sum 'Al2 Se6'
_symmetry_space_group_name_H-M 'I m m m'
_symmetry_Int_Tables_number 71
_symmetry_space_group_name_Hall '-I 2 2'
_cell_length_a 3.6440
_cell_length_b 4.7300
_cell_length_c 11.4345
_cell_angle_alpha 90.00
_cell_angle_beta 90.00
_cell_angle_gamma 90.00
loop_
_atom_site_label
_atom_site_type_symbol
_atom_site_fract_x
_atom_site_fract_y
_atom_site_fract_z
_atom_site_occupancy
Al1 Al 0.0000 0.0000 0.0000 1
Se1 Se 0.0000 0.0000 0.5000 1
Se2 Se 0.0000 0.5000 0.3495 1
```

***

Record 7
# La5HoGe4

La5HoGe4 after structural relaxation (PBE, the Alexandria database).

Values from the calculation:
size of the total moment: 0.0 μB/f.u.
V: 29.62 Å³ per atom
ΔE_f: -0.644 eV/atom
total DFT energy (no corrections): -54.1 eV/f.u.
DOS(E_F): 12.3 states/eV/cell

The structure in CIF format:
```
data_La5HoGe4
_chemical_formula_sum 'La10 Ho2 Ge8'
_symmetry_space_group_name_H-M 'C 1 2/m 1'
_symmetry_Int_Tables_number 12
_cell_length_a 16.1277
_cell_length_b 5.1681
_cell_length_c 7.1109
_cell_angle_alpha 90.00
_cell_angle_beta 91.50
_cell_angle_gamma 90.00
loop_
_symmetry_equiv_pos_as_xyz
'x,y,z'
'-x,-y,-z'
'-x,y,-z'
'x,-y,z'
'x+1/2,y+1/2,z'
'-x+1/2,-y+1/2,-z'
'-x+1/2,y+1/2,-z'
'x+1/2,-y+1/2,z'
loop_
_atom_site_label
_atom_site_type_symbol
_atom_site_fract_x
_atom_site_fract_y
_atom_site_fract_z
_atom_site_occupancy
La1 La 0.0000 0.0000 0.0000 1
La2 La 0.1634 0.5000 0.0012 1
La3 La 0.1666 0.5000 0.5097 1
Ho1 Ho 0.0000 0.0000 0.5000 1
Ge1 Ge 0.0081 0.5000 0.2652 1
Ge2 Ge 0.1737 0.0000 0.7493 1
```

***

Record 8
# SmSi3IrRu

SmSi3IrRu after structural relaxation (PBE, the Alexandria database).

Values from the calculation:
size of the total moment: 0.0 μB/f.u.
V: 19.67 Å³ per atom
total DFT energy (no corrections): -42.4 eV/f.u.
DOS(E_F): 6.4 states/eV/cell

The structure in CIF format:
```
data_SmSi3IrRu
_chemical_formula_sum 'Sm4 Si12 Ir4 Ru4'
_symmetry_space_group_name_H-M 'C m c m'
_symmetry_Int_Tables_number 63
_symmetry_space_group_name_Hall '-C 2c 2'
_cell_length_a 6.2505
_cell_length_b 13.3934
_cell_length_c 5.6386
_cell_angle_alpha 90.00
_cell_angle_beta 90.00
_cell_angle_gamma 90.00
loop_
_atom_site_label
_atom_site_type_symbol
_atom_site_fract_x
_atom_site_fract_y
_atom_site_fract_z
_atom_site_occupancy
Sm1 Sm 0.0000 0.1918 0.2500 1
Si1 Si 0.0000 0.2266 0.7500 1
Si2 Si 0.2125 0.5000 0.0000 1
Ir1 Ir 0.0000 0.3939 0.7500 1
Ru1 Ru 0.0000 0.0610 0.7500 1
```

***

Record 9
# Pu2PaCo

Pu2PaCo after structural relaxation (PBE, the Alexandria database).

Values from the calculation:
size of the total moment: 9.2 μB/f.u.
offset from the most stable computed form: 0 meV/atom
V: 20.25 Å³ per atom
ΔE_f: 0.034 eV/atom
total DFT energy (no corrections): -45.1 eV/f.u.
DOS(E_F): 12.1 states/eV/cell

The structure in CIF format:
```
data_Pu2PaCo
_chemical_formula_sum 'Pu2 Pa1 Co1'
_symmetry_space_group_name_H-M 'P 4/m m m'
_symmetry_Int_Tables_number 123
_symmetry_space_group_name_Hall '-P 4 2'
_cell_length_a 3.4065
_cell_length_b 3.4065
_cell_length_c 6.9785
_cell_angle_alpha 90.00
_cell_angle_beta 90.00
_cell_angle_gamma 90.00
loop_
_atom_site_label
_atom_site_type_symbol
_atom_site_fract_x
_atom_site_fract_y
_atom_site_fract_z
_atom_site_occupancy
Pu1 Pu 0.0000 0.0000 0.2148 1
Pa1 Pa 0.5000 0.5000 0.5000 1
Co1 Co 0.5000 0.5000 0.0000 1
```

***

Record 10
# Li2TeH

Li2TeH after structural relaxation (PBE, the Alexandria database).

Values from the calculation:
size of the total moment: 0.0 μB/f.u.
offset from the most stable computed form: 246 meV/atom
V: 17.86 Å³ per atom
total DFT energy (no corrections): -11.2 eV/f.u.
DOS(E_F): 0.9 states/eV/cell

The structure in CIF format:
```
data_Li2TeH
_chemical_formula_sum 'Li2 Te1 H1'
_symmetry_space_group_name_H-M 'P 4/m m m'
_symmetry_Int_Tables_number 123
_symmetry_space_group_name_Hall '-P 4 2'
_cell_length_a 3.2051
_cell_length_b 3.2051
_cell_length_c 6.9535
_cell_angle_alpha 90.00
_cell_angle_beta 90.00
_cell_angle_gamma 90.00
loop_
_atom_site_label
_atom_site_type_symbol
_atom_site_fract_x
_atom_site_fract_y
_atom_site_fract_z
_atom_site_occupancy
Li1 Li 0.0000 0.0000 0.2021 1
Te1 Te 0.5000 0.5000 0.5000 1
H1 H 0.5000 0.5000 0.0000 1
```

***

Record 11
# Zn2CrPt

Zn2CrPt after structural relaxation (PBE, the Alexandria database).

Values from the calculation:
size of the total moment: 3.6 μB/f.u.
V: 14.71 Å³ per atom
ΔE_f: -0.112 eV/atom
total DFT energy (no corrections): -18.7 eV/f.u.
DOS(E_F): 2.2 states/eV/cell

The structure in CIF format:
```
data_Zn2CrPt
_chemical_formula_sum 'Zn2 Cr1 Pt1'
_symmetry_space_group_name_H-M 'P 1 m 1'
_symmetry_Int_Tables_number 6
_cell_length_a 2.8141
_cell_length_b 4.0968
_cell_length_c 5.2939
_cell_angle_alpha 90.00
_cell_angle_beta 105.36
_cell_angle_gamma 90.00
loop_
_symmetry_equiv_pos_as_xyz
'x,y,z'
'x,-y,z'
loop_
_atom_site_label
_atom_site_type_symbol
_atom_site_fract_x
_atom_site_fract_y
_atom_site_fract_z
_atom_site_occupancy
Zn1 Zn 0.0000 0.0000 0.0000 1
Zn2 Zn 0.1321 0.5000 0.2714 1
Cr1 Cr 0.7410 0.0000 0.4882 1
Pt1 Pt 0.3902 0.5000 0.7816 1
```